Here is a geometry-optimized NaLaPr structure from Alexandria. Energies are from PBE.

Energy of formation = 0.067 eV per atom
V = 222.7 Å³/cell
ρ = 4.5 g/cm3
DOS(E_F) = 1.299 states/eV per atom
Total moment = 0.0 μB per formula unit

The structure in POSCAR format:
```
NaLaPr
1.0
3.6438 0.0000 0.0000
0.0000 3.6438 0.0000
0.0000 0.0000 16.7702
Na La Pr
2 2 2
Cartesian
0.9110 0.9110 1.4689
2.7329 2.7329 15.3013
0.9110 0.9110 6.9984
2.7329 2.7329 9.7718
0.9110 0.9110 12.4185
2.7329 2.7329 4.3517
```


Here is a geometry-optimized CrGaP3 structure from Alexandria. Energies are from PBE.

Energy of formation = 0.394 eV per atom
V = 90.1 Å³/cell
ρ = 4.0 g/cm3
DOS(E_F) = 0.723 states/eV per atom
Total moment = 0.0 μB per formula unit

The structure in POSCAR format:
```
CrGaP3
1.0
4.4826 0.0000 0.0000
0.0000 4.4826 0.0000
0.0000 0.0000 4.4826
Cr Ga P
1 1 3
Cartesian
0.0000 0.0000 0.0000
2.2413 2.2413 2.2413
0.0000 0.0000 2.2413
0.0000 2.2413 0.0000
2.2413 0.0000 0.0000
```


Here is a geometry-optimized Y3Cu3Ni2 structure from Alexandria. Energies are from PBE.

Energy of formation = -0.322 eV per atom
V = 589.5 Å³/cell
ρ = 6.5 g/cm3
DOS(E_F) = 0.666 states/eV per atom
Total moment = 0.0 μB per formula unit

The structure in POSCAR format:
```
Y3Cu3Ni2
1.0
7.2402 0.0000 0.0000
0.0000 15.4233 0.0000
0.0000 0.0000 5.2787
Y Cu Ni
12 12 8
Cartesian
0.2550 1.6252 0.6507
0.2550 6.0864 0.6507
1.2394 3.8558 3.3404
2.3807 11.5675 0.7010
3.3651 9.3368 3.2901
3.3651 13.7981 3.2901
3.8751 1.6252 1.9886
3.8751 6.0864 1.9886
4.8595 3.8558 4.5776
6.0008 11.5675 1.9383
6.9852 9.3368 4.6280
6.9852 13.7981 4.6280
1.2658 0.4849 3.1557
1.2658 7.2268 3.1557
1.2905 11.5675 3.3008
2.3296 3.8558 0.6615
2.3543 8.1965 0.5164
2.3543 14.9384 0.5164
4.8858 0.4849 4.7623
4.8858 7.2268 4.7623
4.9106 11.5675 4.6172
5.9497 3.8558 1.9779
5.9744 8.1965 2.1230
5.9744 14.9384 2.1230
0.8496 9.4479 1.9750
0.8496 13.6870 1.9750
2.7705 1.7362 4.6143
2.7705 5.9754 4.6143
4.4697 9.4479 0.6643
4.4697 13.6870 0.6643
6.3906 1.7362 3.3037
6.3906 5.9754 3.3037
```


> Among the records above, which one has the lowest DOS(E_F)?

Y3Cu3Ni2


What did the first record say?
Here is a geometry-optimized NaLaPr structure from Alexandria. Energies are from PBE.

Energy of formation = 0.067 eV per atom
V = 222.7 Å³/cell
ρ = 4.5 g/cm3
DOS(E_F) = 1.299 states/eV per atom
Total moment = 0.0 μB per formula unit

The structure in POSCAR format:
```
NaLaPr
1.0
3.6438 0.0000 0.0000
0.0000 3.6438 0.0000
0.0000 0.0000 16.7702
Na La Pr
2 2 2
Cartesian
0.9110 0.9110 1.4689
2.7329 2.7329 15.3013
0.9110 0.9110 6.9984
2.7329 2.7329 9.7718
0.9110 0.9110 12.4185
2.7329 2.7329 4.3517
```